SrP2BrCl: optimized geometry, PBE-GGA.

Computed properties:
offset from the most stable computed form = 1.793 eV per formula unit
final energy = -2.778 eV/atom
raw formation energy = 0.426 eV/atom
space group = No. 123
density of states at the Fermi level = 1.528 states/eV per atom

Lattice parameters (Å, degrees): 6.257 6.257 5.412 90.00 90.00 90.00
Site moments in Bohr magnetons follow the coordinates.
Atoms (fractional coordinates):
Cl  0.000  0.000  0.500  0.05
Sr  0.000  0.000  0.000  0.06
P  0.500  0.000  0.000  0.98
Br  0.500  0.500  0.500  -0.13
P  0.000  0.500  0.000  0.98